Record 1
A plane-wave DFT calculation with PBE-GGA was carried out for a relaxed structure of ZnSi2Ir.

Calculated values
Energy, eV per atom: -5.104
Uncorrected formation energy, meV per atom: 142

Cell lengths 3.036, 4.741, 8.187 Å; angles 90.00, 90.00, 90.00 degrees
Space group Immm (No. 71)
Inequivalent atoms, fractional coordinates:
Zn (0.000, 0.000, 0.000)
Si (0.000, 0.500, 0.241)
Ir (0.000, 0.000, 0.500)

=====

Record 2
A plane-wave DFT calculation with PBE-GGA was carried out for a relaxed structure of ZnSiIr.

Calculated values
Energy, eV per atom: -5.575
Uncorrected formation energy, meV per atom: -389

Cell lengths 3.594, 12.412, 3.922 Å; angles 90.00, 90.00, 90.00 degrees
Space group Cmcm (No. 63)
Inequivalent atoms, fractional coordinates:
Zn (0.000, 0.060, 0.250)
Si (0.000, 0.257, 0.750)
Ir (0.000, 0.371, 0.250)

=====

Record 3
A plane-wave DFT calculation with PBE-GGA was carried out for a relaxed structure of ZnSi2Ir.

Calculated values
Energy, eV per atom: -5.071
Uncorrected formation energy, meV per atom: 174

Cell lengths 2.996, 4.294, 4.458 Å; angles 90.00, 90.00, 90.00 degrees
Space group Pmmm (No. 47)
Inequivalent atoms, fractional coordinates:
Zn (0.000, 0.000, 0.000)
Si (0.000, 0.500, 0.500)
Si (0.500, 0.500, 0.000)
Ir (0.500, 0.000, 0.500)

=====

Record 4
A plane-wave DFT calculation with PBE-GGA was carried out for a relaxed structure of Zn2SiIr2.

Calculated values
Energy, eV per atom: -5.432
Uncorrected formation energy, meV per atom: -294
Energy above the most stable polymorph in this dataset, meV/atom: 0

Cell lengths 6.148, 6.148, 4.065 Å; angles 90.00, 90.00, 90.00 degrees
Space group P4/mbm (No. 127)
Inequivalent atoms, fractional coordinates:
Zn (0.153, 0.347, 0.000)
Si (0.000, 0.000, 0.500)
Ir (0.153, 0.653, 0.500)

=====

Record 5
A plane-wave DFT calculation with PBE-GGA was carried out for a relaxed structure of Zn5SiIr6.

Calculated values
Energy, eV per atom: -5.693
Uncorrected formation energy, meV per atom: -279

Cell lengths 13.446, 6.114, 4.254 Å; angles 90.00, 108.34, 90.00 degrees
Space group C2/m (No. 12)
Inequivalent atoms, fractional coordinates:
Zn (0.000, 0.000, 0.000)
Zn (0.165, 0.000, 0.665)
Zn (0.176, 0.500, 0.676)
Si (0.000, 0.500, 0.000)
Ir (0.000, 0.266, 0.500)
Ir (0.160, 0.259, 0.160)

=====

Record 6
A plane-wave DFT calculation with PBE-GGA was carried out for a relaxed structure of ZnSi2Ir.

Calculated values
Energy, eV per atom: -5.257
Uncorrected formation energy, meV per atom: -12

Cell lengths 2.9620, 2.9620, 23.0077 Å; angles 90.00, 90.00, 120.00 degrees
Space group R3m (No. 160, hexagonal axes)
Inequivalent atoms, fractional coordinates:
Zn (0.0000, 0.0000, 0.0000)
Si (0.0000, 0.0000, 0.4992)
Si (0.0000, 0.0000, 0.7537)
Ir (0.0000, 0.0000, 0.2415)

=====

Record 7
A plane-wave DFT calculation with PBE-GGA was carried out for a relaxed structure of ZnSi2Ir.

Calculated values
Energy, eV per atom: -5.056
Uncorrected formation energy, meV per atom: 189

Cell lengths 5.725, 5.725, 10.238 Å; angles 90.00, 90.00, 90.00 degrees
Space group I-42d (No. 122)
Inequivalent atoms, fractional coordinates:
Zn (0.000, 0.000, 0.000)
Si (0.220, 0.250, 0.625)
Ir (0.000, 0.000, 0.500)

=====

Record 8
A plane-wave DFT calculation with PBE-GGA was carried out for a relaxed structure of Zn3SiIr.

Calculated values
Energy, eV per atom: -3.005
Uncorrected formation energy, meV per atom: 616
Energy above the most stable polymorph in this dataset, meV/atom: 0

Cell lengths 4.769, 4.769, 4.769 Å; angles 90.00, 90.00, 90.00 degrees
Space group Pm-3m (No. 221)
Inequivalent atoms, fractional coordinates:
Zn (0.000, 0.000, 0.500)
Si (0.500, 0.500, 0.500)
Ir (0.000, 0.000, 0.000)

=====

Record 9
A plane-wave DFT calculation with PBE-GGA was carried out for a relaxed structure of Zr2SiIr2.

Calculated values
Energy, eV per atom: -8.630
Uncorrected formation energy, meV per atom: -581

Cell lengths 7.137, 7.137, 3.572 Å; angles 90.00, 90.00, 90.00 degrees
Space group P4/mbm (No. 127)
Inequivalent atoms, fractional coordinates:
Zr (0.171, 0.329, 0.000)
Si (0.000, 0.000, 0.500)
Ir (0.137, 0.637, 0.500)

=====

Record 10
A plane-wave DFT calculation with PBE-GGA was carried out for a relaxed structure of ZrSiIr.

Calculated values
Energy, eV per atom: -8.685
Uncorrected formation energy, meV per atom: -1075

Cell lengths 6.615, 3.905, 11.349 Å; angles 90.00, 90.48, 90.00 degrees
Space group P2_1/m (No. 11)
Inequivalent atoms, fractional coordinates:
Zr (0.012, 0.250, 0.206)
Zr (0.344, 0.750, 0.577)
Zr (0.478, 0.750, 0.880)
Si (0.227, 0.750, 0.080)
Si (0.228, 0.250, 0.413)
Si (0.278, 0.250, 0.751)
Ir (0.019, 0.250, 0.593)
Ir (0.151, 0.250, 0.958)
Ir (0.353, 0.750, 0.295)

=====

Record 11
A plane-wave DFT calculation with PBE-GGA was carried out for a relaxed structure of ZrSiIr2.

Calculated values
Energy, eV per atom: -8.350
Uncorrected formation energy, meV per atom: -427

Cell lengths 2.989, 2.989, 7.131 Å; angles 90.00, 90.00, 90.00 degrees
Space group P4mm (No. 99)
Inequivalent atoms, fractional coordinates:
Zr (0.000, 0.000, 0.000)
Si (0.500, 0.500, 0.712)
Ir (0.000, 0.000, 0.539)
Ir (0.500, 0.500, 0.258)

=====

Record 12
A plane-wave DFT calculation with PBE-GGA was carried out for a relaxed structure of ZrSiIr2.

Calculated values
Energy, eV per atom: -7.978
Uncorrected formation energy, meV per atom: -55

Cell lengths 5.452, 5.452, 12.083 Å; angles 90.00, 90.00, 90.00 degrees
Space group I-42d (No. 122)
Inequivalent atoms, fractional coordinates:
Zr (0.000, 0.000, 0.000)
Si (0.000, 0.000, 0.500)
Ir (0.198, 0.250, 0.625)